# 1
VASP calculation (SCAN) on a PBEsol-optimized structure of Cd2AsBr.

extended XYZ file:
```
4
Lattice="4.993 0.000 0.000 2.496 4.324 0.000 2.496 1.441 4.077" Properties=species:S:1:pos:R:3 pbc="T T T"
As 4.993 2.883 2.038
Cd 0.000 0.000 0.000
Cd 7.489 4.324 3.057
Br 2.496 1.441 1.019
```

Summary:
The calculation puts the uncorrected formation energy at 326 meV/atom. For the total magnetic moment, the calculation gives 0.00 μB/atom. The calculation puts the volume at 22.00 Å³/atom. The polymorph energy (0 for the lowest one) is 756.2 meV per atom.

=====

# 2
VASP calculation (SCAN) on a PBEsol-optimized structure of Cd2AsBr.

extended XYZ file:
```
8
Lattice="6.140 0.000 0.000 0.000 6.140 0.000 -3.070 -3.070 6.437" Properties=species:S:1:pos:R:3 pbc="T T T"
Cd 1.835 4.605 1.609
Cd 1.535 1.234 4.828
Cd 4.304 1.535 1.609
Cd -1.535 -1.234 4.828
As 3.070 3.070 0.000
As 3.070 0.000 3.219
Br 0.000 0.000 0.000
Br 0.000 3.070 3.219
```

Summary:
The calculation puts the uncorrected formation energy at -430 meV/atom. For the total magnetic moment, the calculation gives 0.00 μB/atom. The calculation puts the volume at 30.33 Å³/atom. The polymorph energy (0 for the lowest one) is 0.0 meV per atom.

=====

# 3
VASP calculation (SCAN) on a PBEsol-optimized structure of CdAs2Br.

extended XYZ file:
```
4
Lattice="-2.106 -2.268 -2.054 3.635 -3.263 -0.125 -1.060 -1.379 5.199" Properties=species:S:1:pos:R:3 pbc="T T T"
Cd 1.288 -2.321 2.537
As -0.785 -0.926 1.328
As -2.380 -2.721 1.818
Br 0.765 -2.765 -1.089
```

Summary:
The calculation puts the uncorrected formation energy at -87 meV/atom. For the total magnetic moment, the calculation gives 0.00 μB/atom. The calculation puts the volume at 24.01 Å³/atom. The polymorph energy (0 for the lowest one) is 12.3 meV per atom.

=====

# 4
VASP calculation (SCAN) on a PBEsol-optimized structure of Cd2As3Br.

extended XYZ file:
```
12
Lattice="-3.408 5.223 0.569 -4.737 -4.083 0.327 2.415 -0.542 7.580" Properties=species:S:1:pos:R:3 pbc="T T T"
As 1.236 -0.819 7.499
As -3.853 -2.256 2.273
As 0.154 0.329 3.732
As -5.885 0.269 4.745
As -1.878 2.854 6.203
As -6.967 1.417 0.978
Br -3.291 1.679 2.376
Br -2.439 -1.082 6.101
Cd -1.425 -1.312 2.431
Cd 0.189 1.261 6.295
Cd -4.306 1.910 6.046
Cd -5.919 -0.664 2.182
```

Summary:
The calculation puts the uncorrected formation energy at -347 meV/atom. For the total magnetic moment, the calculation gives 0.00 μB/atom. The calculation puts the volume at 25.30 Å³/atom.

=====

# 5
VASP calculation (SCAN) on a PBEsol-optimized structure of CdAs2Br.

extended XYZ file:
```
4
Lattice="-0.418 3.527 -1.028 -5.102 -0.177 1.466 3.533 1.488 3.670" Properties=species:S:1:pos:R:3 pbc="T T T"
Br -0.710 0.669 2.586
Cd 1.282 2.858 2.637
As -4.926 -0.144 1.510
As -3.518 1.932 1.411
```

Summary:
The calculation puts the uncorrected formation energy at -99 meV/atom. For the total magnetic moment, the calculation gives 0.00 μB/atom. The calculation puts the volume at 23.16 Å³/atom. The polymorph energy (0 for the lowest one) is 0.0 meV per atom.

=====

# 6
VASP calculation (SCAN) on a PBEsol-optimized structure of Cd2AsBr.

extended XYZ file:
```
4
Lattice="-1.970 -2.224 -0.945 2.553 -3.672 3.320 -3.508 4.172 2.639" Properties=species:S:1:pos:R:3 pbc="T T T"
Cd -2.882 -1.741 4.964
Cd -0.331 -1.225 3.573
As 0.145 -2.893 1.361
Br -2.490 -0.539 1.318
```

Summary:
The calculation puts the uncorrected formation energy at 45 meV/atom. For the total magnetic moment, the calculation gives 0.00 μB/atom. The calculation puts the volume at 22.35 Å³/atom. The polymorph energy (0 for the lowest one) is 475.0 meV per atom.

=====

# 7
VASP calculation (SCAN) on a PBEsol-optimized structure of CdCoAsBr2.

extended XYZ file:
```
5
Lattice="-0.841 -1.195 4.203 -4.119 -2.316 -1.483 2.586 -4.171 -0.668" Properties=species:S:1:pos:R:3 pbc="T T T"
As -0.421 -0.597 2.101
Br 1.293 -2.086 -0.334
Br -2.060 -1.158 -0.742
Co 0.000 0.000 0.000
Cd -1.188 -3.841 1.026
```

Summary:
The calculation puts the uncorrected formation energy at 212 meV/atom. For the total magnetic moment, the calculation gives 0.00 μB/atom. The calculation puts the volume at 21.83 Å³/atom.

=====

# 8
VASP calculation (SCAN) on a PBEsol-optimized structure of CdCuAs2Br.

extended XYZ file:
```
5
Lattice="5.072 0.000 0.000 0.000 5.072 0.000 0.000 0.000 5.397" Properties=species:S:1:pos:R:3 pbc="T T T"
As 0.000 2.536 0.000
As 2.536 0.000 0.000
Br 0.000 0.000 2.698
Cd 0.000 0.000 0.000
Cu 2.536 2.536 2.698
```

Summary:
The calculation puts the uncorrected formation energy at 1030 meV/atom. For the total magnetic moment, the calculation gives 0.34 μB/atom. The calculation puts the volume at 27.76 Å³/atom.

=====

# 9
VASP calculation (SCAN) on a PBEsol-optimized structure of CdHg6As4Br6.

extended XYZ file:
```
68
Lattice="12.392 0.000 0.000 0.000 12.392 0.000 0.000 0.000 12.392" Properties=species:S:1:pos:R:3 pbc="T T T"
Cd 0.000 0.000 0.000
Cd 6.196 6.196 0.000
Cd 0.000 6.196 6.196
Cd 6.196 0.000 6.196
Hg 2.649 8.934 0.292
Hg 9.743 3.458 12.100
Hg 0.292 3.547 2.738
Hg 2.738 5.904 9.743
Hg 2.649 9.654 6.488
Hg 3.458 12.100 9.743
Hg 8.934 0.292 2.649
Hg 9.654 6.488 2.649
Hg 8.845 9.654 12.100
Hg 3.458 6.488 3.547
Hg 3.547 3.458 6.488
Hg 6.488 2.649 9.654
Hg 8.934 5.904 8.845
Hg 0.292 2.649 8.934
Hg 9.743 2.738 5.904
Hg 6.488 3.547 3.458
Hg 2.738 0.292 3.547
Hg 9.654 12.100 8.845
Hg 12.100 8.845 9.654
Hg 8.845 8.934 5.904
Hg 3.547 2.738 0.292
Hg 5.904 9.743 2.738
Hg 5.904 8.845 8.934
Hg 12.100 9.743 3.458
As 3.512 9.707 8.880
As 10.277 4.081 2.115
As 9.707 8.880 3.512
As 4.081 4.081 4.081
As 2.684 3.512 8.880
As 9.707 9.707 9.707
As 8.880 2.684 3.512
As 4.081 2.115 10.277
As 2.115 10.277 4.081
As 10.277 2.115 8.311
As 8.311 8.311 8.311
As 8.880 3.512 9.707
As 2.684 2.684 2.684
As 2.115 8.311 10.277
As 8.311 10.277 2.115
As 3.512 8.880 2.684
Br 6.594 2.717 6.670
Br 8.913 11.918 5.798
Br 5.798 8.913 11.918
Br 6.594 3.479 0.474
Br 0.398 3.479 5.722
Br 0.398 2.717 11.918
Br 8.913 6.670 11.994
Br 6.670 6.594 2.717
Br 11.918 5.798 8.913
Br 3.479 5.722 0.398
Br 11.918 0.398 2.717
Br 6.670 11.994 8.913
Br 5.722 5.798 9.675
Br 0.474 6.594 3.479
Br 9.675 5.722 5.798
Br 2.717 11.918 0.398
Br 5.722 0.398 3.479
Br 2.717 6.670 6.594
Br 0.474 11.994 9.675
Br 11.994 8.913 6.670
Br 5.798 9.675 5.722
Br 11.994 9.675 0.474
Br 9.675 0.474 11.994
Br 3.479 0.474 6.594
```

Summary:
The calculation puts the uncorrected formation energy at -427 meV/atom. For the total magnetic moment, the calculation gives 0.00 μB/atom. The calculation puts the volume at 27.98 Å³/atom.

=====

# 10
VASP calculation (SCAN) on a PBEsol-optimized structure of CdHgAsBr.

extended XYZ file:
```
16
Lattice="4.698 0.000 0.000 0.000 9.513 0.000 0.000 0.000 10.918" Properties=species:S:1:pos:R:3 pbc="T T T"
Br 0.000 4.670 2.730
Br 0.000 4.843 8.189
Br 0.000 0.711 2.730
Br 0.000 8.802 8.189
Hg 2.349 6.924 2.730
Hg 2.349 0.000 0.000
Hg 2.349 2.589 8.189
Hg 2.349 0.000 5.459
Cd 0.000 2.733 4.626
Cd 0.000 6.780 6.292
Cd 0.000 2.733 0.833
Cd 0.000 6.780 10.085
As 2.349 7.006 0.230
As 2.349 2.508 10.688
As 2.349 7.006 5.229
As 2.349 2.508 5.689
```

Summary:
The calculation puts the uncorrected formation energy at -420 meV/atom. For the total magnetic moment, the calculation gives 0.00 μB/atom. The calculation puts the volume at 30.50 Å³/atom.

=====

# 11
VASP calculation (SCAN) on a PBEsol-optimized structure of CdHgAs2Br.

extended XYZ file:
```
5
Lattice="5.136 0.000 0.000 0.000 5.136 0.000 0.000 0.000 5.513" Properties=species:S:1:pos:R:3 pbc="T T T"
As 2.568 0.000 0.000
As 0.000 2.568 0.000
Hg 0.000 0.000 0.000
Cd 2.568 2.568 2.757
Br 0.000 0.000 2.757
```

Summary:
The calculation puts the uncorrected formation energy at 722 meV/atom. For the total magnetic moment, the calculation gives 0.29 μB/atom. The calculation puts the volume at 29.08 Å³/atom.

=====

# 12
VASP calculation (SCAN) on a PBEsol-optimized structure of CdMoAs2Br.

extended XYZ file:
```
5
Lattice="-2.844 0.762 3.773 -3.257 -2.978 -1.853 2.275 -4.066 2.536" Properties=species:S:1:pos:R:3 pbc="T T T"
Cd -1.913 -3.141 2.228
As -1.422 0.381 1.887
As -1.628 -1.489 -0.927
Br 1.137 -2.033 1.268
Mo 0.000 0.000 0.000
```

Summary:
The calculation puts the uncorrected formation energy at 301 meV/atom. For the total magnetic moment, the calculation gives 0.00 μB/atom. The calculation puts the volume at 24.31 Å³/atom.